A relaxed Mg4AgPb crystal, computed with PBE-GGA.

a b c (Å): 8.267 8.267 8.267
angles (deg): 90.00 90.00 90.00
Space group F-43m (No. 216)
One atom of each set of equivalent atoms:
Mg: 0.125 0.125 0.125 (multiplicity 16)
Ag: 0.000 0.000 0.500 (multiplicity 4)
Pb: 0.250 0.250 0.750 (multiplicity 4)

Calculated values
Energy relative to the elements in eV/atom: 0.08
Calculated volume in Å³/atom: 23.54
ρ in Mg/m³: 4.85
Distance to the lowest polymorph of the same formula in eV per atom: 0.179